Here is LaCl2F at its PBEsol-relaxed geometry from the Alexandria database. Energies are from SCAN.

## Properties
Calculated density in g/cm³: 3.15
E in eV/cell: -212.4
Size of the total moment in μB per cell: 0.136
DOS(E_F) in states/eV per atom: 0.000
Formation energy (no corrections) in kJ per mole of atoms: -197.66

Unit cell a=4.4797 b=4.4797 c=20.8147 alpha=90.00 beta=90.00 gamma=120.00
Last column: nearest neighbours and their distance in Å.
Positions (direct):
La (0.0000, 0.0000, 0.0000)  6 Cl 2.80
La (0.3333, 0.6667, 0.6667)  6 Cl 2.80
La (0.6667, 0.3333, 0.3333)  6 Cl 2.80
Cl (0.0000, 0.0000, 0.3851)  1 F 2.39
Cl (0.0000, 0.0000, 0.6149)  1 F 2.39
Cl (0.3333, 0.6667, 0.0518)  1 F 2.39
Cl (0.3333, 0.6667, 0.2815)  1 F 2.39
Cl (0.6667, 0.3333, 0.7185)  1 F 2.39
Cl (0.6667, 0.3333, 0.9482)  1 F 2.39
F (0.0000, 0.0000, 0.5000)  2 Cl 2.39
F (0.3333, 0.6667, 0.1667)  2 Cl 2.39
F (0.6667, 0.3333, 0.8333)  2 Cl 2.39